# 1
4
Lattice="-1.196 -1.941 4.725 0.173 -5.177 0.830 3.765 -2.047 3.025" Properties=species:S:1:pos:R:3 comment="EuLuZnCd, relaxed, DFT GGA-PBE" total_energy_ev_per_atom=-4.50 crystal_system=cubic formation_energy_ev_per_atom=-0.2558 pbc="T T T"
Eu 1.371 -4.582 4.290
Zn 0.685 -2.291 2.145
Lu 0.000 0.000 0.000
Cd 2.056 -6.874 6.435


# 2
4
Lattice="-2.935 2.425 -3.050 -3.129 -3.552 0.188 -2.128 2.069 3.692" Properties=species:S:1:pos:R:3 comment="EuMg2Cd, relaxed, DFT GGA-PBE" total_energy_ev_per_atom=-3.71 crystal_system=tetragonal formation_energy_ev_per_atom=-0.1147 pbc="T T T"
Eu -1.468 1.213 -1.525
Mg -1.064 1.035 1.846
Mg -1.565 -1.776 0.094
Cd -4.096 0.471 0.415


# 3
4
Lattice="-3.786 -0.913 -0.747 -0.016 -2.472 3.101 -2.374 5.966 4.745" Properties=species:S:1:pos:R:3 comment="Eu2MgCd, relaxed, DFT GGA-PBE" total_energy_ev_per_atom=-5.99 crystal_system=tetragonal e_above_lowest_polymorph_mev_per_atom=0 formation_energy_ev_per_atom=-0.2240 pbc="T T T"
Eu -1.803 4.529 3.602
Eu -0.572 1.437 1.143
Mg -3.088 1.291 3.549
Cd -1.901 -1.692 1.177


# 4
4
Lattice="5.618 0.000 0.000 2.809 4.865 0.000 2.809 1.622 4.587" Properties=species:S:1:pos:R:3 comment="Eu2MgCd, relaxed, DFT GGA-PBE" total_energy_ev_per_atom=-5.98 crystal_system=cubic e_above_lowest_polymorph_mev_per_atom=8 formation_energy_ev_per_atom=-0.2158 pbc="T T T"
Eu 2.809 1.622 1.147
Eu 8.426 4.865 3.440
Mg 0.000 0.000 0.000
Cd 5.618 3.243 2.293


# 5
4
Lattice="-1.315 -0.206 -5.072 -0.991 -4.624 -2.266 -4.901 -1.242 -1.390" Properties=species:S:1:pos:R:3 comment="EuMgCd2, relaxed, DFT GGA-PBE" total_energy_ev_per_atom=-3.70 crystal_system=cubic formation_energy_ev_per_atom=-0.2782 pbc="T T T"
Eu -5.405 -4.553 -6.546
Mg -1.802 -1.518 -2.182
Cd -3.604 -3.036 -4.364
Cd 0.000 0.000 0.000


# 6
4
Lattice="3.511 0.000 0.000 0.000 3.511 0.000 0.000 0.000 8.275" Properties=species:S:1:pos:R:3 comment="EuMgCd2, relaxed, DFT GGA-PBE" total_energy_ev_per_atom=-3.65 crystal_system=tetragonal formation_energy_ev_per_atom=-0.2262 pbc="T T T"
Eu 1.755 1.755 4.137
Mg 1.755 1.755 0.000
Cd 0.000 0.000 6.445
Cd 0.000 0.000 1.830


# 7
4
Lattice="4.538 0.000 0.000 0.000 4.867 0.000 0.000 0.000 4.867" Properties=species:S:1:pos:R:3 comment="EuMgCd2, relaxed, DFT GGA-PBE" total_energy_ev_per_atom=-3.61 crystal_system=tetragonal formation_energy_ev_per_atom=-0.1877 pbc="T T T"
Eu 2.269 2.434 2.434
Mg 2.269 0.000 0.000
Cd 0.000 0.000 2.434
Cd 0.000 2.434 0.000


# 8
4
Lattice="5.209 0.000 0.000 2.605 4.511 0.000 2.605 1.504 4.253" Properties=species:S:1:pos:R:3 comment="EuMg2Cd, relaxed, DFT GGA-PBE" total_energy_ev_per_atom=-3.74 crystal_system=cubic formation_energy_ev_per_atom=-0.1421 pbc="T T T"
Eu 0.000 0.000 0.000
Mg 2.605 1.504 1.063
Mg 7.814 4.511 3.190
Cd 5.209 3.008 2.127


# 9
4
Lattice="-1.612 -1.441 4.898 3.204 -2.953 3.112 2.288 2.182 4.321" Properties=species:S:1:pos:R:3 comment="EuMgCdPb, relaxed, DFT GGA-PBE" total_energy_ev_per_atom=-4.46 crystal_system=cubic formation_energy_ev_per_atom=-0.3403 pbc="T T T"
Pb 0.970 -0.553 3.083
Eu 1.940 -1.106 6.166
Mg 0.000 0.000 0.000
Cd 2.910 -1.659 9.248


# 10
4
Lattice="-1.677 -4.707 -2.328 2.618 -4.718 1.128 -2.473 -3.861 3.060" Properties=species:S:1:pos:R:3 comment="PmEuMgCd, relaxed, DFT GGA-PBE" total_energy_ev_per_atom=-4.58 crystal_system=cubic formation_energy_ev_per_atom=-0.1941 pbc="T T T"
Eu -0.766 -6.643 0.930
Mg -0.383 -3.321 0.465
Cd -1.149 -9.964 1.395
Pm 0.000 0.000 0.000


# 11
4
Lattice="-1.173 5.105 0.867 -2.224 1.470 4.592 2.804 2.806 3.530" Properties=species:S:1:pos:R:3 comment="EuMgScCd, relaxed, DFT GGA-PBE" total_energy_ev_per_atom=-4.89 crystal_system=cubic formation_energy_ev_per_atom=-0.1151 pbc="T T T"
Eu 0.000 0.000 0.000
Sc -0.297 4.690 4.494
Mg -0.148 2.345 2.247
Cd -0.445 7.036 6.741


# 12
4
Lattice="5.072 0.000 0.000 2.536 4.392 0.000 2.536 1.464 4.141" Properties=species:S:1:pos:R:3 comment="EuMgCdSi, relaxed, DFT GGA-PBE" total_energy_ev_per_atom=-4.78 crystal_system=cubic formation_energy_uncorrected_ev_per_atom=-0.225 pbc="T T T"
Eu 2.536 1.464 1.035
Si 0.000 0.000 0.000
Mg 7.608 4.392 3.106
Cd 5.072 2.928 2.071